# 1
{"formula": "SrErTlHg", "functional": "PBE", "state": "relaxed", "total_magnetization_mub_per_cell": 0.00, "e_form_kj_per_mol_atoms": -42.53, "sg": "P4mm (99)", "lattice_angstrom": [[3.8359, 0.0000, 0.0000], [0.0000, 3.8359, 0.0000], [0.0000, 0.0000, 7.9461]], "species": ["Sr", "Er", "Tl", "Hg"], "frac_coords": [[0.0000, 0.0000, 0.0000], [0.0000, 0.0000, 0.5197], [0.5000, 0.5000, 0.2826], [0.5000, 0.5000, 0.7243]]}



# 2
{"formula": "TbEr2Hg2", "functional": "PBE", "state": "relaxed", "total_magnetization_mub_per_cell": 0.00, "e_form_kj_per_mol_atoms": 4.75, "sg": "C2/c (15)", "lattice_angstrom": [[3.2728, -5.6364, 0.0000], [3.2728, 5.6364, 0.0000], [-3.2624, 0.0000, 8.5050]], "species": ["Tb", "Tb", "Er", "Er", "Er", "Er", "Hg", "Hg", "Hg", "Hg"], "frac_coords": [[0.1253, 0.8747, 0.7500], [0.8747, 0.1253, 0.2500], [0.2727, 0.5234, 0.0458], [0.4766, 0.7273, 0.4542], [0.5234, 0.2727, 0.5458], [0.7273, 0.4766, 0.9542], [0.1543, 0.8457, 0.2500], [0.4049, 0.5951, 0.7500], [0.5951, 0.4049, 0.2500], [0.8457, 0.1543, 0.7500]]}



# 3
{"formula": "TbEr3Hg4", "functional": "PBE", "state": "relaxed", "total_magnetization_mub_per_cell": 0.00, "e_form_kj_per_mol_atoms": -27.07, "sg": "C2/m (12)", "lattice_angstrom": [[7.1182, -2.6313, 0.0000], [7.1182, 2.6313, 0.0000], [-1.8623, 0.0000, 5.6568]], "species": ["Tb", "Er", "Er", "Er", "Hg", "Hg", "Hg", "Hg"], "frac_coords": [[0.0000, 0.0000, 0.0000], [0.3306, 0.3306, 0.9211], [0.5000, 0.5000, 0.5000], [0.6694, 0.6694, 0.0789], [0.1122, 0.1122, 0.6457], [0.2412, 0.2412, 0.3289], [0.7588, 0.7588, 0.6711], [0.8878, 0.8878, 0.3543]]}



# 4
{"formula": "Tb2ErHg", "functional": "PBE", "state": "relaxed", "total_magnetization_mub_per_cell": 0.00, "e_form_kj_per_mol_atoms": -11.88, "sg": "P4/mmm (123)", "lattice_angstrom": [[5.4343, 0.0000, 0.0000], [0.0000, 5.4343, 0.0000], [0.0000, 0.0000, 3.8007]], "species": ["Tb", "Tb", "Er", "Hg"], "frac_coords": [[0.0000, 0.5000, 0.0000], [0.5000, 0.0000, 0.0000], [0.0000, 0.0000, 0.5000], [0.5000, 0.5000, 0.5000]]}



# 5
{"formula": "TbEr3Hg2", "functional": "PBE", "state": "relaxed", "total_magnetization_mub_per_cell": 0.00, "e_form_kj_per_mol_atoms": -35.08, "sg": "Pmc2_1 (26)", "lattice_angstrom": [[5.0697, 0.0000, 0.0000], [0.0000, 9.1765, 0.0000], [0.0000, 0.0000, 7.0449]], "species": ["Tb", "Tb", "Er", "Er", "Er", "Er", "Er", "Er", "Hg", "Hg", "Hg", "Hg"], "frac_coords": [[0.0000, 0.0557, 0.0000], [0.0000, 0.9443, 0.5000], [0.0000, 0.3263, 0.6528], [0.0000, 0.6737, 0.1528], [0.5000, 0.1768, 0.3159], [0.5000, 0.4441, 0.9679], [0.5000, 0.5559, 0.4679], [0.5000, 0.8232, 0.8159], [0.0000, 0.3519, 0.2226], [0.0000, 0.6481, 0.7226], [0.5000, 0.1490, 0.7456], [0.5000, 0.8510, 0.2456]]}



# 6
{"formula": "Tb2ErHg", "functional": "PBE", "state": "relaxed", "total_magnetization_mub_per_cell": 0.00, "e_form_kj_per_mol_atoms": -13.83, "sg": "Cmcm (63)", "lattice_angstrom": [[2.2280, -6.0808, 0.0000], [2.2280, 6.0808, 0.0000], [0.0000, 0.0000, 8.7627]], "species": ["Tb", "Tb", "Tb", "Tb", "Er", "Er", "Hg", "Hg"], "frac_coords": [[0.1366, 0.8634, 0.5494], [0.1366, 0.8634, 0.9506], [0.8634, 0.1366, 0.0494], [0.8634, 0.1366, 0.4506], [0.4473, 0.5527, 0.7500], [0.5527, 0.4473, 0.2500], [0.2598, 0.7402, 0.2500], [0.7402, 0.2598, 0.7500]]}



# 7
{"formula": "TbEr7Hg4", "functional": "PBE", "state": "relaxed", "total_magnetization_mub_per_cell": 0.00, "e_form_kj_per_mol_atoms": -8.66, "sg": "C2/m (12)", "lattice_angstrom": [[7.2492, -2.8201, 0.0000], [7.2492, 2.8201, 0.0000], [-5.1450, 0.0000, 8.1834]], "species": ["Tb", "Er", "Er", "Er", "Er", "Er", "Er", "Er", "Hg", "Hg", "Hg", "Hg"], "frac_coords": [[0.0000, 0.0000, 0.0000], [0.0671, 0.0671, 0.4062], [0.2081, 0.2081, 0.8839], [0.2672, 0.2672, 0.3151], [0.5000, 0.5000, 0.0000], [0.7328, 0.7328, 0.6849], [0.7919, 0.7919, 0.1161], [0.9329, 0.9329, 0.5938], [0.3112, 0.3112, 0.6613], [0.4531, 0.4531, 0.2743], [0.5469, 0.5469, 0.7257], [0.6888, 0.6888, 0.3387]]}



# 8
{"formula": "TbEr3Hg12", "functional": "PBE", "state": "relaxed", "total_magnetization_mub_per_cell": 0.00, "e_form_kj_per_mol_atoms": -29.13, "sg": "P4/mmm (123)", "lattice_angstrom": [[4.4970, 0.0000, 0.0000], [0.0000, 4.4970, 0.0000], [0.0000, 0.0000, 19.2063]], "species": ["Tb", "Er", "Er", "Er", "Hg", "Hg", "Hg", "Hg", "Hg", "Hg", "Hg", "Hg", "Hg", "Hg", "Hg", "Hg"], "frac_coords": [[0.0000, 0.0000, 0.0000], [0.0000, 0.0000, 0.2510], [0.0000, 0.0000, 0.5000], [0.0000, 0.0000, 0.7490], [0.0000, 0.5000, 0.1262], [0.0000, 0.5000, 0.3754], [0.0000, 0.5000, 0.6246], [0.0000, 0.5000, 0.8738], [0.5000, 0.0000, 0.1262], [0.5000, 0.0000, 0.3754], [0.5000, 0.0000, 0.6246], [0.5000, 0.0000, 0.8738], [0.5000, 0.5000, 0.0000], [0.5000, 0.5000, 0.2507], [0.5000, 0.5000, 0.5000], [0.5000, 0.5000, 0.7493]]}